The following is a DFT calculation (PBE) of crystalline YBe at its relaxed geometry.

Calculated values
- Symmetry: Pm-3n (223)
- Energy above the lowest structure with this stoichiometry: 1.287 eV/atom
- Total magnetic moment: 0.2710 μB per atom
- N(E_F): 1.59 states/eV/atom
- Crystal system: cubic
- Raw total energy: -45.20 eV per cell

Unit cell a=7.5898 b=7.5898 c=7.5898 alpha=90.00 beta=90.00 gamma=90.00
Site moments in Bohr magnetons follow the coordinates.
Fractional positions:
Y 0.2500 0.0000 0.5000  0.15
Y 0.7500 0.0000 0.5000  0.15
Y 0.0000 0.5000 0.2500  0.15
Y 0.0000 0.5000 0.7500  0.15
Y 0.5000 0.2500 0.0000  0.15
Y 0.5000 0.7500 0.0000  0.15
Be 0.2500 0.5000 0.0000  0.07
Be 0.7500 0.5000 0.0000  0.07
Be 0.5000 0.0000 0.2500  0.07
Be 0.5000 0.0000 0.7500  0.07
Be 0.0000 0.2500 0.5000  0.07
Be 0.0000 0.7500 0.5000  0.07